No. 1
Compound: Sr3Zn2IrO8
Source: the Alexandria database
Functional: PBE
Structure: optimized geometry Values from VASP.

Structure (Quantum ESPRESSO input):
```
&SYSTEM
  ibrav = 0, nat = 14, ntyp = 4
/
ATOMIC_SPECIES
O 16.00 O.upf
Sr 87.62 Sr.upf
Zn 65.41 Zn.upf
Ir 192.22 Ir.upf
ATOMIC_POSITIONS angstrom
O 2.810 1.622 0.416
O 4.263 0.784 4.846
O 0.000 1.567 2.513
O 0.000 3.245 6.944
O 2.810 3.300 4.846
Sr 0.000 0.000 0.000
Zn 0.000 3.245 1.399
O 1.453 4.084 2.513
Ir 0.000 0.000 3.680
Sr 2.810 1.622 2.682
Sr 0.000 3.245 4.677
O 1.357 0.784 4.846
O -1.453 4.084 2.513
Zn 2.810 1.622 5.960
CELL_PARAMETERS angstrom
5.620 0.000 0.000
-2.810 4.867 0.000
0.000 0.000 7.359
```



No. 2
Compound: SrZnIrO5
Source: the Alexandria database
Functional: PBE
Structure: optimized geometry Values from VASP.

Structure (Quantum ESPRESSO input):
```
&SYSTEM
  ibrav = 0, nat = 16, ntyp = 4
/
ATOMIC_SPECIES
Ir 192.22 Ir.upf
O 16.00 O.upf
Sr 87.62 Sr.upf
Zn 65.41 Zn.upf
ATOMIC_POSITIONS angstrom
Ir 0.000 0.000 0.000
O 0.858 2.031 6.201
Sr 0.319 3.119 1.658
Zn 3.093 1.065 1.658
Sr 2.018 0.037 5.059
O -2.300 1.803 6.172
O -1.730 4.636 1.658
O 3.269 -0.495 2.771
O 4.066 -1.479 5.059
O -0.932 3.651 3.945
Zn -0.757 2.091 5.059
O 2.564 2.592 2.800
Ir -0.872 -1.178 3.401
O -0.228 0.564 3.916
O 4.637 1.353 0.545
O 1.479 1.125 0.515
CELL_PARAMETERS angstrom
5.869 -0.078 -0.043
-1.787 5.591 -0.043
-1.745 -2.357 6.802
```



No. 3
Compound: SrZrIrO6
Source: the Alexandria database
Functional: PBE
Structure: optimized geometry Values from VASP.

Structure (Quantum ESPRESSO input):
```
&SYSTEM
  ibrav = 0, nat = 18, ntyp = 4
/
ATOMIC_SPECIES
O 16.00 O.upf
Zr 91.22 Zr.upf
Sr 87.62 Sr.upf
Ir 192.22 Ir.upf
ATOMIC_POSITIONS angstrom
O 3.370 3.370 9.812
O 3.686 3.686 3.084
O 0.849 4.191 4.844
O 1.354 1.354 3.084
Zr 2.520 2.520 1.652
O 1.671 1.671 9.812
O 1.459 1.459 6.960
Sr 0.000 0.000 0.051
O 4.191 0.849 4.844
Zr 0.000 0.000 6.620
O 1.166 3.874 8.052
O 3.874 1.166 8.052
Ir 2.520 2.520 8.264
O 3.979 1.061 1.992
Sr 2.520 2.520 5.019
Ir 0.000 0.000 3.296
O 3.581 3.581 6.960
O 1.061 3.979 1.992
CELL_PARAMETERS angstrom
5.040 0.000 0.000
0.000 5.040 0.000
0.000 0.000 9.936
```



For each record above, in turn, the calculated N(E_F) values are 3.6, 11.2, 11.7 states/eV/cell.
For each record above, in turn, the calculated energy relative to the elements, uncorrected values are -1.718, -1.420, -1.939 eV/atom.